1.
CeHoGaAg GGA-PBE relaxed; ΔE_f = -337 meV/atom; mass density = 8.2 Mg/m³; total moment = 1.18 μB per cell
1.0
-3.687 3.499 0.934
-1.950 0.491 4.761
1.076 4.200 2.813
Ag Ga Ho Ce
1 1 1 1
Cartesian
-2.281 4.095 4.254
0.000 0.000 0.000
-3.421 6.142 6.381
-1.140 2.047 2.127

2.
Nd5CoAu2 GGA-PBE relaxed; ΔE_f = -444 meV/atom; mass density = 8.7 Mg/m³; total moment = 0.00 μB per cell
1.0
-2.920 -2.366 1.543
4.057 0.266 8.087
-6.462 9.877 2.917
Nd Co Au
10 2 4
Cartesian
-3.231 4.938 1.459
2.029 0.133 4.043
2.188 2.200 7.516
-4.593 7.943 3.489
-1.914 7.081 7.238
-0.491 3.062 3.766
-1.465 3.192 7.473
-3.860 4.584 5.075
-4.091 8.171 10.138
-1.234 -0.394 2.409
-1.203 5.071 5.502
0.000 0.000 0.000
-0.282 0.728 5.933
-5.044 7.049 6.615
-2.085 5.760 10.238
-3.241 2.017 2.309

3.
La6DyZn5 GGA-PBE relaxed; ΔE_f = -215 meV/atom; mass density = 6.6 Mg/m³; total moment = 0.00 μB per cell
1.0
5.203 0.002 -1.085
-0.003 7.657 -0.001
-0.938 0.000 8.523
Zn Dy La
5 1 6
Cartesian
3.144 3.830 2.137
1.174 7.658 5.595
-0.002 3.828 0.000
3.087 0.002 1.843
1.118 3.829 5.301
0.000 0.000 0.000
3.688 5.711 4.642
3.690 1.950 4.642
1.663 2.136 7.981
2.599 5.523 -0.543
0.572 5.709 2.795
0.574 1.948 2.796

4.
PmPaSn2 GGA-PBE relaxed; excess energy over the best structure of this formula in the dataset = 0.122 eV/atom; ΔE_f = -287 meV/atom; mass density = 9.5 Mg/m³; total moment = 0.00 μB per cell
1.0
-0.011 -0.028 3.396
2.721 -1.117 1.697
4.946 9.608 1.794
Pa Sn Pm
1 2 1
Cartesian
0.000 0.000 0.000
5.749 6.363 5.165
1.907 2.099 1.722
3.828 4.231 3.444

5.
LaMoP2 GGA-PBE relaxed; excess energy over the best structure of this formula in the dataset = 0.185 eV/atom; ΔE_f = -658 meV/atom; mass density = 5.7 Mg/m³; total moment = 0.00 μB per cell
1.0
-2.812 -2.129 3.003
2.046 -3.005 -0.214
3.892 0.175 3.769
La Mo P
1 1 2
Cartesian
2.922 -1.705 1.528
3.940 -3.452 4.815
5.213 -2.466 3.134
-0.041 -1.580 2.414

6.
ScMo3 GGA-PBE relaxed; ΔE_f = 317 meV/atom; mass density = 8.1 Mg/m³; total moment = 0.00 μB per cell
1.0
4.815 0.000 0.000
0.000 5.203 0.000
0.000 0.000 5.461
Sc Mo
2 6
Cartesian
0.000 0.000 2.002
2.408 2.601 3.460
2.408 0.000 3.618
0.000 1.344 4.724
2.408 1.257 0.737
0.000 2.601 1.843
0.000 3.858 4.724
2.408 3.946 0.737

7.
Nd2Zn2Hg GGA-PBE relaxed; ΔE_f = -265 meV/atom; mass density = 8.5 Mg/m³; total moment = 0.00 μB per cell
1.0
1.459 0.852 5.835
5.110 -1.699 2.811
4.433 3.296 2.573
Nd Zn Hg
2 2 1
Cartesian
8.466 1.941 8.585
2.536 0.507 2.634
4.685 1.202 4.643
6.317 1.247 6.576
0.000 0.000 0.000

8.
SrIBr3 GGA-PBE relaxed; excess energy over the best structure of this formula in the dataset = 0.360 eV/atom; mass density = 3.5 Mg/m³; raw formation energy = -887 meV per atom; total moment = 2.00 μB per cell
1.0
-0.157 -3.601 4.789
-3.332 -3.929 -3.063
4.979 -2.743 -1.899
I Sr Br
1 1 3
Cartesian
0.745 -5.136 -0.087
0.000 0.000 0.000
-1.666 -1.964 -1.532
2.490 -1.371 -0.949
-0.079 -1.800 2.395

9.
Na2NdUSe4 GGA-PBE relaxed; mass density = 5.7 Mg/m³; raw formation energy = -1417 meV per atom; total moment = 3.01 μB per cell
1.0
4.220 0.000 0.000
0.000 7.307 0.123
0.000 -2.557 6.992
Na Nd U Se
2 1 1 4
Cartesian
2.110 -1.279 3.496
0.000 2.375 3.558
0.000 0.000 0.000
2.110 3.654 0.061
2.110 1.234 1.690
2.110 3.516 5.425
0.000 -0.049 5.389
0.000 4.799 1.726

10.
Tb3ErIr3 GGA-PBE relaxed; excess energy over the best structure of this formula in the dataset = 0.000 eV/atom; ΔE_f = -723 meV/atom; mass density = 12.7 Mg/m³; total moment = 0.00 μB per cell
1.0
5.581 -0.008 -1.964
-2.810 4.858 -1.988
0.005 -0.008 5.917
Tb Er Ir
3 1 3
Cartesian
2.779 0.013 -0.988
1.379 2.440 0.976
-0.008 0.013 2.949
-1.414 2.444 -1.000
1.376 2.443 -1.984
2.783 0.009 1.969
-1.413 2.443 1.957

11.
LiAcTe3Pb GGA-PBE relaxed; mass density = 6.5 Mg/m³; raw formation energy = -1035 meV per atom; total moment = 0.00 μB per cell
1.0
4.516 0.000 0.000
0.000 9.528 0.214
0.000 -2.295 9.667
Li Ac Te Pb
2 2 6 2
Cartesian
1.129 -0.505 5.732
3.387 7.737 4.150
1.129 1.133 2.272
3.387 6.100 7.609
3.387 8.323 1.399
1.129 -1.090 8.482
1.129 6.371 5.077
3.387 0.862 4.804
3.387 3.577 1.702
1.129 3.656 8.179
1.129 5.934 1.687
3.387 1.299 8.194

12.
CuPd2Pt GGA-PBE relaxed; excess energy over the best structure of this formula in the dataset = 0.021 eV/atom; ΔE_f = -79 meV/atom; mass density = 13.3 Mg/m³; total moment = 0.00 μB per cell
1.0
3.848 0.000 0.000
0.000 3.914 0.000
0.000 0.000 3.914
Cu Pd Pt
1 2 1
Cartesian
1.924 1.957 1.957
0.000 0.000 1.957
0.000 1.957 0.000
1.924 0.000 0.000